(1)
# LaZn2Tc

A geometry-optimized LaZn2Tc structure (PBE, Alexandria).

Structure (POSCAR):
```
LaZn2Tc
1.0
-0.3420 -4.1479 -1.6580
3.6679 -2.1272 -1.4465
1.8021 -3.9438 3.5124
Zn La Tc
2 1 1
Direct
0.0108 0.0108 0.9659
0.3012 0.3012 0.0944
0.5060 0.5060 0.4899
0.6820 0.6820 0.9498
```

Summary:
- Magnetization: 0.00 μB/cell
- Crystal system: monoclinic
- Calculated total energy: -17.8 eV/cell
- Space group: Cm (8)

=====

(2)
# Sr3NbN

A geometry-optimized Sr3NbN structure (PBE, Alexandria).

Structure (POSCAR):
```
Sr3NbN
1.0
-0.3362 -5.4976 2.0894
-1.8377 -1.8898 -5.2681
5.5867 -0.9524 -1.6072
N Nb Sr
1 1 3
Direct
0.5000 0.5000 0.5000
0.0000 0.0000 0.0000
0.5000 0.0000 0.0000
0.0000 0.5000 0.0000
0.0000 0.0000 0.5000
```

Summary:
- Magnetization: 3.70 μB/cell
- Crystal system: cubic
- Calculated total energy: -14.7 eV/cell
- Raw formation energy: 1742 meV/atom
- Space group: Pm-3m (221)

=====

(3)
# Ti2Ir2Rh

A geometry-optimized Ti2Ir2Rh structure (PBE, Alexandria).

Structure (POSCAR):
```
Ti2Ir2Rh
1.0
-4.9769 -3.2573 -4.2145
-2.2674 -3.9238 5.7100
-1.9402 2.0969 0.6705
Ir Rh Ti
4 2 4
Direct
0.3649 0.8649 0.0000
0.8649 0.6351 0.0000
0.1351 0.3649 0.0000
0.6351 0.1351 0.0000
0.5000 0.5000 0.0000
0.0000 0.0000 0.0000
0.8360 0.3360 0.5000
0.1640 0.6640 0.5000
0.3360 0.1640 0.5000
0.6640 0.8360 0.5000
```

Summary:
- Magnetization: 0.00 μB/cell
- Crystal system: tetragonal
- Calculated total energy: -87.6 eV/cell
- Space group: P4/mbm (127)

=====

(4)
# AcPa3

A geometry-optimized AcPa3 structure (PBE, Alexandria).

Structure (POSCAR):
```
AcPa3
1.0
3.3242 0.0000 0.0000
0.0000 5.7576 0.0000
0.0000 0.0000 5.8626
Pa Ac
3 1
Direct
0.0000 0.0000 0.9956
0.5000 0.5000 0.8256
0.5000 0.0000 0.5198
0.0000 0.5000 0.3257
```

Summary:
- Magnetization: 0.00 μB/cell
- Crystal system: orthorhombic
- Calculated total energy: -31.1 eV/cell
- Space group: Pmm2 (25)

=====

(5)
# SrP2PbO

A geometry-optimized SrP2PbO structure (PBE, Alexandria).

Structure (POSCAR):
```
SrP2PbO
1.0
5.3160 0.0000 0.0000
0.0000 5.3160 0.0000
0.0000 0.0000 4.4085
Pb P Sr O
1 2 1 1
Direct
0.0000 0.0000 0.0000
0.0000 0.5000 0.0000
0.5000 0.0000 0.0000
0.5000 0.5000 0.5000
0.0000 0.0000 0.5000
```

Summary:
- Magnetization: 1.70 μB/cell
- Crystal system: tetragonal
- Calculated total energy: -21.3 eV/cell
- Raw formation energy: -29 meV/atom
- Space group: P4/mmm (123)

=====

(6)
# Mo3AsW

A geometry-optimized Mo3AsW structure (PBE, Alexandria).

Structure (POSCAR):
```
Mo3AsW
1.0
-4.4762 -1.4913 0.7479
1.6074 -4.4285 0.7900
0.4467 0.9919 4.6515
Mo W As
3 1 1
Direct
0.0000 0.0000 0.5000
0.0000 0.5000 0.0000
0.5000 0.0000 0.0000
0.0000 0.0000 0.0000
0.5000 0.5000 0.5000
```

Summary:
- Magnetization: 1.33 μB/cell
- Crystal system: cubic
- Calculated total energy: -40.9 eV/cell
- Space group: Pm-3m (221)

=====

(7)
# Ti2Ga4Si

A geometry-optimized Ti2Ga4Si structure (PBE, Alexandria).

Structure (POSCAR):
```
Ti2Ga4Si
1.0
-0.6120 0.6901 4.7325
2.6455 -3.9259 0.9145
6.2817 1.9668 2.9817
Ga Ti Si
4 2 1
Direct
0.1897 0.1897 0.6205
0.8103 0.8103 0.3795
0.5000 0.0000 0.0000
0.0000 0.5000 0.0000
0.6016 0.6016 0.7968
0.3984 0.3984 0.2032
0.0000 0.0000 0.0000
```

Summary:
- Magnetization: 0.00 μB/cell
- Crystal system: tetragonal
- Calculated total energy: -30.7 eV/cell
- Raw formation energy: 371 meV/atom
- Space group: I4/mmm (139)

=====

(8)
# K3TmBi2Se6

A geometry-optimized K3TmBi2Se6 structure (PBE, Alexandria).

Structure (POSCAR):
```
K3TmBi2Se6
1.0
-1.1871 -6.4595 3.4261
5.8749 4.1305 1.8155
-5.7597 4.3903 3.6126
Se K Bi Tm
6 3 2 1
Direct
0.7470 0.7470 0.2088
0.6081 0.9308 0.7922
0.3919 0.0692 0.2078
0.0692 0.3919 0.2078
0.9308 0.6081 0.7922
0.2530 0.2530 0.7912
0.5000 0.5000 0.5000
0.1706 0.8294 0.5000
0.8294 0.1706 0.5000
0.3338 0.6662 0.0000
0.6662 0.3338 0.0000
0.0000 0.0000 0.0000
```

Summary:
- Magnetization: 0.00 μB/cell
- Crystal system: monoclinic
- Calculated total energy: -49.9 eV/cell
- Raw formation energy: -1121 meV/atom
- Space group: C2/m (12)

=====

(9)
# SrInNiHg2

A geometry-optimized SrInNiHg2 structure (PBE, Alexandria).

Structure (POSCAR):
```
SrInNiHg2
1.0
5.1222 0.0000 0.0000
0.0000 5.1222 0.0000
0.0000 0.0000 4.9443
Hg In Ni Sr
2 1 1 1
Direct
0.5000 0.0000 0.0000
0.0000 0.5000 0.0000
0.0000 0.0000 0.5000
0.0000 0.0000 0.0000
0.5000 0.5000 0.5000
```

Summary:
- Magnetization: 0.00 μB/cell
- Crystal system: tetragonal
- Calculated total energy: -12.0 eV/cell
- Space group: P4/mmm (123)

=====

(10)
# K2TmTh2Te6

A geometry-optimized K2TmTh2Te6 structure (PBE, Alexandria).

Structure (POSCAR):
```
K2TmTh2Te6
1.0
7.6886 -0.0184 0.0642
-3.8161 6.6748 0.0642
-1.3843 -2.3794 8.4730
Te K Th Tm
6 2 2 1
Direct
0.2552 0.2552 0.2889
0.3979 0.0747 0.7124
0.6021 0.9253 0.2876
0.7448 0.7448 0.7111
0.0747 0.3979 0.7124
0.9253 0.6021 0.2876
0.8312 0.1688 0.0000
0.1688 0.8312 0.0000
0.6672 0.3328 0.5000
0.3328 0.6672 0.5000
0.0000 0.0000 0.5000
```

Summary:
- Magnetization: 0.00 μB/cell
- Crystal system: monoclinic
- Calculated total energy: -54.1 eV/cell
- Raw formation energy: -1254 meV/atom
- Space group: C2/m (12)

=====

(11)
# CdInFe4

A geometry-optimized CdInFe4 structure (PBE, Alexandria).

Structure (POSCAR):
```
CdInFe4
1.0
0.4244 -4.2593 2.5760
-3.2988 -3.6849 -0.7052
1.4001 -4.1953 -2.3232
Fe Cd In
4 1 1
Direct
0.3750 0.3750 0.3750
0.3750 0.8750 0.3750
0.3750 0.3750 0.8750
0.8750 0.3750 0.3750
0.0000 0.0000 0.0000
0.7500 0.7500 0.7500
```

Summary:
- Magnetization: 9.21 μB/cell
- Crystal system: cubic
- Calculated total energy: -36.2 eV/cell
- Space group: F-43m (216)

=====

(12)
# Th2MgZn6

A geometry-optimized Th2MgZn6 structure (PBE, Alexandria).

Structure (POSCAR):
```
Th2MgZn6
1.0
3.9646 -6.8668 0.0000
3.9646 6.8668 0.0000
0.0000 0.0000 3.4097
Th Zn Mg
2 6 1
Direct
0.6667 0.3333 0.0000
0.3333 0.6667 0.0000
0.6777 0.0000 0.5000
0.0000 0.3223 0.5000
0.6777 0.6777 0.5000
0.3223 0.0000 0.5000
0.0000 0.6777 0.5000
0.3223 0.3223 0.5000
0.0000 0.0000 0.0000
```

Summary:
- Magnetization: 0.00 μB/cell
- Crystal system: hexagonal
- Calculated total energy: -25.7 eV/cell
- Space group: P6/mmm (191)

=====

(13)
# LaIn2Ag

A geometry-optimized LaIn2Ag structure (PBE, Alexandria).

Structure (POSCAR):
```
LaIn2Ag
1.0
-4.8122 5.9734 6.6259
-5.6045 2.8283 7.9581
-2.5625 4.3653 8.7817
Ag In La
1 2 1
Direct
0.7500 0.7500 0.7500
0.4892 0.4892 0.4892
0.0108 0.0108 0.0108
0.2500 0.2500 0.2500
```

Summary:
- Magnetization: 0.00 μB/cell
- Crystal system: trigonal
- Calculated total energy: -13.6 eV/cell
- Space group: R-3m (166)

=====

(14)
# Ta2TeRh

A geometry-optimized Ta2TeRh structure (PBE, Alexandria).

Structure (POSCAR):
```
Ta2TeRh
1.0
3.1175 0.0000 0.0000
0.0000 4.1759 0.0000
0.0000 0.0000 5.5467
Te Rh Ta
1 1 2
Direct
0.5000 0.5000 0.0000
0.5000 0.5000 0.5000
0.0000 0.0000 0.7438
0.0000 0.0000 0.2562
```

Summary:
- Magnetization: 0.00 μB/cell
- Crystal system: orthorhombic
- Calculated total energy: -33.9 eV/cell
- Raw formation energy: 73 meV/atom
- Space group: Pmmm (47)

=====

(15)
# BaTiAg2F8

A geometry-optimized BaTiAg2F8 structure (PBE, Alexandria).

Structure (POSCAR):
```
BaTiAg2F8
1.0
4.6270 -0.2079 -0.0019
-0.1814 5.6824 -0.0053
0.0037 0.0086 7.6825
Ti Ag F Ba
1 2 8 1
Direct
0.0000 0.0000 0.0000
0.5000 0.5000 0.7534
0.5000 0.5000 0.2466
0.4993 0.7484 0.5000
0.8513 0.1836 0.1823
0.5007 0.2516 0.5000
0.6741 0.7790 0.0000
0.8513 0.1837 0.8177
0.1487 0.8164 0.8177
0.1487 0.8163 0.1823
0.3259 0.2210 0.0000
0.0000 0.0000 0.5000
```

Summary:
- Magnetization: 0.00 μB/cell
- Crystal system: monoclinic
- Calculated total energy: -63.0 eV/cell
- Raw formation energy: -2706 meV/atom
- Space group: P2/m (10)

=====

(16)
# ReRhBr2

A geometry-optimized ReRhBr2 structure (PBE, Alexandria).

Structure (POSCAR):
```
ReRhBr2
1.0
8.4113 -0.0064 -0.0038
7.8379 3.0522 -0.0038
7.8379 1.4692 2.6754
Br Re Rh
2 1 1
Direct
0.5028 0.5028 0.5028
0.9972 0.9972 0.9972
0.2500 0.2500 0.2500
0.7500 0.7500 0.7500
```

Summary:
- Magnetization: 0.00 μB/cell
- Crystal system: trigonal
- Calculated total energy: -19.6 eV/cell
- Raw formation energy: 896 meV/atom
- Space group: R-3m (166)

=====

(17)
# BeP2SF

A geometry-optimized BeP2SF structure (PBE, Alexandria).

Structure (POSCAR):
```
BeP2SF
1.0
-3.3410 -0.0664 2.0232
0.7741 -3.6494 1.1585
2.7253 2.0279 4.5670
S P Be F
1 2 1 1
Direct
0.0000 0.0000 0.5000
0.5000 0.0000 0.0000
0.0000 0.5000 0.0000
0.5000 0.5000 0.5000
0.0000 0.0000 0.0000
```

Summary:
- Magnetization: 0.00 μB/cell
- Crystal system: tetragonal
- Calculated total energy: -15.7 eV/cell
- Raw formation energy: 965 meV/atom
- Space group: P4/mmm (123)

=====

(18)
# InSbC2

A geometry-optimized InSbC2 structure (PBE, Alexandria).

Structure (POSCAR):
```
InSbC2
1.0
0.0000 3.0949 3.0949
3.0949 0.0000 3.0949
3.0949 3.0949 0.0000
C Sb In
2 1 1
Direct
0.2500 0.2500 0.2500
0.7500 0.7500 0.7500
0.5000 0.5000 0.5000
0.0000 0.0000 0.0000
```

Summary:
- Magnetization: 0.00 μB/cell
- Crystal system: cubic
- Calculated total energy: -16.7 eV/cell
- Raw formation energy: 2152 meV/atom
- Space group: Fm-3m (225)

=====

(19)
# LaHgAs2

A geometry-optimized LaHgAs2 structure (PBE, Alexandria).

Structure (POSCAR):
```
LaHgAs2
1.0
-0.8944 3.7270 4.6114
0.6396 -2.3064 5.4979
3.0388 0.4732 -5.1476
As La Hg
2 1 1
Direct
0.7666 0.2666 0.5000
0.9472 0.9472 0.0000
0.2565 0.7565 0.5000
0.5298 0.5298 0.0000
```

Summary:
- Magnetization: 0.00 μB/cell
- Crystal system: orthorhombic
- Calculated total energy: -16.8 eV/cell
- Space group: Imm2 (44)

=====

(20)
# ZrAs2HSe

A geometry-optimized ZrAs2HSe structure (PBE, Alexandria).

Structure (POSCAR):
```
ZrAs2HSe
1.0
-0.3140 -3.8095 -1.0517
-0.9766 -0.9475 3.7237
-5.1442 0.7442 -1.1599
As Se Zr H
2 1 1 1
Direct
0.0000 0.5000 0.0000
0.5000 0.0000 0.0000
0.0000 0.0000 0.5000
0.5000 0.5000 0.5000
0.0000 0.0000 0.0000
```

Summary:
- Magnetization: 0.00 μB/cell
- Crystal system: tetragonal
- Calculated total energy: -24.8 eV/cell
- Space group: P4/mmm (123)